# 1
ReSeS, optimized geometry, DFT GGA-PBE; total DFT energy (no corrections) = -6.9699 eV per atom; size of the total moment = 0.0 μB/cell; space-group type = Cmm2, No. 35
1.0
1.553 -11.522 0.000
1.553 11.522 0.000
0.000 0.000 5.861
Re Se S
2 2 2
Direct
0.000 0.000 0.000
0.500 0.500 0.403
0.435 0.565 0.766
0.565 0.435 0.766
0.074 0.926 0.283
0.926 0.074 0.283

# 2
PaZnIn, optimized geometry, DFT GGA-PBE; total DFT energy (no corrections) = -3.8847 eV per atom; size of the total moment = 0.0 μB/cell; space-group type = F-43m, No. 216
1.0
0.000 3.493 3.493
3.493 0.000 3.493
3.493 3.493 0.000
Pa Zn In
1 1 1
Direct
0.000 0.000 0.000
0.250 0.250 0.250
0.750 0.750 0.750

# 3
BeRe2Tc, optimized geometry, DFT GGA-PBE; total DFT energy (no corrections) = -9.6599 eV per atom; size of the total moment = 0.0 μB/cell; space-group type = F-43m, No. 216
1.0
0.000 3.006 3.006
3.006 0.000 3.006
3.006 3.006 0.000
Be Re Tc
1 2 1
Direct
0.000 0.000 0.000
0.500 0.500 0.500
0.750 0.750 0.750
0.250 0.250 0.250

# 4
RbAgSbAu, optimized geometry, DFT GGA-PBE; polymorph energy (0 for the lowest one) = 62 kJ/mol of formula units; space-group type = F-43m, No. 216
1.0
0.000 3.746 3.746
3.746 0.000 3.746
3.746 3.746 0.000
Rb Ag Sb Au
1 1 1 1
Direct
0.000 0.000 0.000
0.500 0.500 0.500
0.250 0.250 0.250
0.750 0.750 0.750

# 5
Zn15S16, optimized geometry, DFT GGA-PBE; total DFT energy (no corrections) = -3.4401 eV per atom; space-group type = R3m, No. 160
1.0
1.909 1.102 50.177
-1.909 1.102 50.177
0.000 -2.204 50.177
Zn S
15 16
Direct
0.000 0.000 0.000
0.042 0.042 0.042
0.083 0.083 0.083
0.145 0.145 0.145
0.208 0.208 0.208
0.271 0.271 0.271
0.354 0.354 0.354
0.438 0.438 0.438
0.521 0.521 0.521
0.583 0.583 0.583
0.646 0.646 0.646
0.729 0.729 0.729
0.833 0.833 0.833
0.896 0.896 0.896
0.958 0.958 0.958
0.026 0.026 0.026
0.068 0.068 0.068
0.130 0.130 0.130
0.193 0.193 0.193
0.255 0.255 0.255
0.339 0.339 0.339
0.422 0.422 0.422
0.505 0.505 0.505
0.568 0.568 0.568
0.630 0.630 0.630
0.714 0.714 0.714
0.776 0.776 0.776
0.818 0.818 0.818
0.880 0.880 0.880
0.943 0.943 0.943
0.984 0.984 0.984

# 6
GdZrB4, optimized geometry, DFT GGA-PBE; total DFT energy (no corrections) = -7.4084 eV per atom; size of the total moment = 0.0 μB/cell; space-group type = P6/mmm, No. 191
1.0
3.228 0.000 0.000
-1.614 2.796 0.000
0.000 0.000 7.518
Gd Zr B
1 1 4
Direct
0.000 0.000 0.000
0.000 0.000 0.500
0.333 0.667 0.267
0.333 0.667 0.733
0.667 0.333 0.267
0.667 0.333 0.733